Entry 1:
# Dy3Tl4InTe8 (PBE, relaxed)
# Crystal system ... trigonal
# Final energy ... -4.04 eV/atom
# Formation energy from raw total energies ... -1308.0 kJ/mol of formula units
data_Dy3Tl4InTe8
_chemical_formula_sum 'Dy9 Tl12 In3 Te24'
_space_group_name_H-M_alt 'R -3 m'
_space_group_IT_number 166
_space_group_name_Hall '-R 3 2"'
_cell_length_a 8.9060
_cell_length_b 8.9060
_cell_length_c 24.3683
_cell_angle_alpha 90.00
_cell_angle_beta 90.00
_cell_angle_gamma 120.00
loop_
_atom_site_label
_atom_site_type_symbol
_atom_site_fract_x
_atom_site_fract_y
_atom_site_fract_z
Dy1 Dy 0.0000 0.5000 0.0000
Tl1 Tl 0.0000 0.0000 0.5000
Tl2 Tl 0.0000 0.5000 0.5000
In1 In 0.0000 0.0000 0.0000
Te1 Te 0.0000 0.0000 0.2618
Te2 Te 0.0029 0.5014 0.7372



Entry 2:
# TlHgF3 (PBE, relaxed)
# Crystal system ... monoclinic
# Final energy ... -3.21 eV/atom
# Formation energy from raw total energies ... -751.2 kJ/mol of formula units
data_TlHgF3
_chemical_formula_sum 'Tl4 Hg4 F12'
_space_group_name_H-M_alt 'P 1 21/c 1'
_space_group_IT_number 14
_cell_length_a 8.221
_cell_length_b 5.883
_cell_length_c 9.425
_cell_angle_alpha 90.00
_cell_angle_beta 124.87
_cell_angle_gamma 90.00
loop_
_space_group_symop_operation_xyz
'x,y,z'
'-x,-y,-z'
'-x,y+1/2,-z+1/2'
'x,-y+1/2,z+1/2'
loop_
_atom_site_label
_atom_site_type_symbol
_atom_site_fract_x
_atom_site_fract_y
_atom_site_fract_z
Tl1 Tl 0.195 0.248 0.099
Hg1 Hg 0.267 0.723 0.883
F1 F 0.011 0.501 0.266
F2 F 0.234 0.729 0.117
F3 F 0.411 0.234 0.456



Entry 3:
# K3Ag2OsO6 (PBE, relaxed)
# Crystal system ... monoclinic
# Final energy ... -5.11 eV/atom
# Formation energy from raw total energies ... -1099.2 kJ/mol of formula units
data_K3Ag2OsO6
_chemical_formula_sum 'K6 Ag4 Os2 O12'
_space_group_name_H-M_alt 'C 1 2/m 1'
_space_group_IT_number 12
_cell_length_a 6.112
_cell_length_b 10.589
_cell_length_c 6.113
_cell_angle_alpha 90.00
_cell_angle_beta 108.46
_cell_angle_gamma 90.00
loop_
_space_group_symop_operation_xyz
'x,y,z'
'-x,-y,-z'
'-x,y,-z'
'x,-y,z'
'x+1/2,y+1/2,z'
'-x+1/2,-y+1/2,-z'
'-x+1/2,y+1/2,-z'
'x+1/2,-y+1/2,z'
loop_
_atom_site_label
_atom_site_type_symbol
_atom_site_fract_x
_atom_site_fract_y
_atom_site_fract_z
K1 K 0.000 0.000 0.000
K2 K 0.000 0.321 0.000
Ag1 Ag 0.000 0.164 0.500
Os1 Os 0.000 0.500 0.500
O1 O 0.188 0.500 0.302
O2 O 0.196 0.369 0.681



- Number 1 is which compound?
  Dy3Tl4InTe8



- Which of these has the lowest formation energy from raw total energies?
  Dy3Tl4InTe8



- The highest final energy belongs to which entry?
  TlHgF3